No. 1
Computed, not measured: an optimized crystal structure of KTlPb2O4 at the GGA-PBE level of DFT.

Cell and atoms, written as POSCAR:
```
KTlPb2O4
1.0
-3.6656 3.7097 5.2285
3.6656 -3.7097 5.2285
3.6656 3.7097 -5.2285
K Tl Pb O
2 2 4 8
Direct
0.5000 0.0000 0.0000 K
0.5000 0.5000 0.5000 K
0.0000 0.0000 0.0000 Tl
0.5000 0.0000 0.5000 Tl
0.0000 0.0000 0.5000 Pb
0.0000 0.5000 0.0000 Pb
0.0000 0.5000 0.5000 Pb
0.5000 0.5000 0.0000 Pb
0.1927 0.2073 0.9854 O
0.2445 0.2523 0.5079 O
0.2445 0.7366 0.9921 O
0.2781 0.7927 0.4854 O
0.7219 0.2073 0.5146 O
0.7555 0.2634 0.0079 O
0.7555 0.7477 0.4921 O
0.8073 0.7927 0.0146 O
```

Computed properties:
For the total energy, the calculation gives -75.67 eV for the cell shown. The density of states at the Fermi level is 0.116 states/eV/atom. As for the density: 8.43 g/cm3. Its space group is Imma.



No. 2
Computed, not measured: an optimized crystal structure of K2TmPbO4 at the GGA-PBE level of DFT.

Cell and atoms, written as POSCAR:
```
K2TmPbO4
1.0
6.0896 0.0000 0.0000
0.0000 3.5102 0.0000
-2.0491 0.0000 6.2767
K Tm Pb O
2 1 1 4
Direct
0.0000 0.0000 0.0000 K
0.5000 0.5000 0.0000 K
0.0000 0.5000 0.5000 Tm
0.5000 0.0000 0.5000 Pb
0.2127 0.0000 0.6887 O
0.2523 0.5000 0.3049 O
0.7477 0.5000 0.6951 O
0.7873 0.0000 0.3113 O
```

Computed properties:
For the total energy, the calculation gives -45.89 eV for the cell shown. The density of states at the Fermi level is 0.356 states/eV/atom. As for the density: 6.41 g/cm3. Its space group is P2/m.



No. 3
Computed, not measured: an optimized crystal structure of K3U2PbO9 at the GGA-PBE level of DFT.

Cell and atoms, written as POSCAR:
```
K3U2PbO9
1.0
6.1630 0.0000 0.0000
-3.0815 5.3373 0.0000
0.0000 0.0000 7.5820
K U Pb O
3 2 1 9
Direct
0.0000 0.0000 0.0000 K
0.3333 0.6667 0.6556 K
0.6667 0.3333 0.3444 K
0.3333 0.6667 0.1629 U
0.6667 0.3333 0.8371 U
0.0000 0.0000 0.5000 Pb
0.0000 0.5000 0.0000 O
0.1780 0.3561 0.3176 O
0.1780 0.8220 0.3176 O
0.3561 0.1780 0.6824 O
0.5000 0.0000 0.0000 O
0.5000 0.5000 0.0000 O
0.6439 0.8220 0.3176 O
0.8220 0.1780 0.6824 O
0.8220 0.6439 0.6824 O
```

Computed properties:
For the total energy, the calculation gives -110.60 eV for the cell shown. The density of states at the Fermi level is 0.425 states/eV/atom. As for the density: 6.29 g/cm3. Its space group is P-3m1.



- Which of these has the lowest total energy?
  K3U2PbO9



- Number 3 is which compound?
  K3U2PbO9



- Which value of total energy does entry 1 give?
  -75.67 eV for the cell shown